Entry 1:
! CaYCd2Hg4 (PBE, relaxed); values from VASP
&SYSTEM
  ibrav = 0, nat = 8, ntyp = 4
/
ATOMIC_SPECIES
Ca 40.08 Ca.upf
Cd 112.41 Cd.upf
Hg 200.59 Hg.upf
Y 88.91 Y.upf
CELL_PARAMETERS angstrom
5.0899 0.0000 0.0000
2.5449 4.4080 0.0000
2.5449 1.4693 8.5058
ATOMIC_POSITIONS crystal
Ca 0.0000 0.0000 0.0000
Cd 0.7504 0.7504 0.7487
Cd 0.2496 0.2496 0.2513
Hg 0.6235 0.6235 0.1296
Hg 0.3765 0.3765 0.8704
Hg 0.1246 0.1246 0.6263
Y 0.5000 0.5000 0.5000
Hg 0.8754 0.8754 0.3737
! Formation enthalpy at 0 K (eV/atom): -0.371
! Volume (Å³/atom): 23.855
! Symmetry: R-3m (166)

---

Entry 2:
! Ca2ZnCdHg4 (PBE, relaxed); values from VASP
&SYSTEM
  ibrav = 0, nat = 8, ntyp = 4
/
ATOMIC_SPECIES
Cd 112.41 Cd.upf
Zn 65.41 Zn.upf
Ca 40.08 Ca.upf
Hg 200.59 Hg.upf
CELL_PARAMETERS angstrom
5.1512 0.0000 0.0000
2.5756 4.4611 0.0000
2.5756 1.4870 8.3308
ATOMIC_POSITIONS crystal
Cd 0.0000 0.0000 0.0000
Zn 0.5000 0.5000 0.5000
Ca 0.7495 0.7495 0.7514
Hg 0.6217 0.6217 0.1348
Hg 0.1266 0.1266 0.6203
Hg 0.3783 0.3783 0.8652
Ca 0.2505 0.2505 0.2486
Hg 0.8734 0.8734 0.3797
! Formation enthalpy at 0 K (eV/atom): -0.327
! Volume (Å³/atom): 23.930
! Symmetry: R-3m (166)

---

Entry 3:
! Ca4ZnCdHg2 (PBE, relaxed); values from VASP
&SYSTEM
  ibrav = 0, nat = 8, ntyp = 4
/
ATOMIC_SPECIES
Zn 65.41 Zn.upf
Ca 40.08 Ca.upf
Cd 112.41 Cd.upf
Hg 200.59 Hg.upf
CELL_PARAMETERS angstrom
5.3472 0.0000 0.0000
2.6736 4.6308 0.0000
2.6736 1.5436 8.7104
ATOMIC_POSITIONS crystal
Zn 0.5000 0.5000 0.5000
Ca 0.8728 0.8728 0.3815
Cd 0.0000 0.0000 0.0000
Hg 0.7488 0.7488 0.7537
Ca 0.3773 0.3773 0.8680
Ca 0.6227 0.6227 0.1320
Hg 0.2512 0.2512 0.2463
Ca 0.1272 0.1272 0.6185
! Formation enthalpy at 0 K (eV/atom): -0.419
! Volume (Å³/atom): 26.961
! Symmetry: R-3m (166)

---

Entry 4:
! CaHo2Cd (PBE, relaxed); values from VASP
&SYSTEM
  ibrav = 0, nat = 4, ntyp = 3
/
ATOMIC_SPECIES
Cd 112.41 Cd.upf
Ho 164.93 Ho.upf
Ca 40.08 Ca.upf
CELL_PARAMETERS angstrom
3.5497 0.0000 0.0000
1.7749 3.0742 0.0000
1.7749 1.0247 11.7934
ATOMIC_POSITIONS crystal
Cd 0.5000 0.5000 0.5000
Ho 0.9034 0.9034 0.2897
Ca 0.0000 0.0000 0.0000
Ho 0.0966 0.0966 0.7103
! Formation enthalpy at 0 K (eV/atom): 0.132
! Volume (Å³/atom): 32.174
! Symmetry: R-3m (166)
! Excess energy over the best structure of this formula in the dataset (meV per atom): 193.5